# Y3MgCo (GGA-PBE, relaxed)
data_Y3MgCo
_chemical_formula_sum 'Y6 Mg2 Co2'
_cell_length_a 5.5727
_cell_length_b 6.4412
_cell_length_c 8.5578
_cell_angle_alpha 70.82
_cell_angle_beta 77.83
_cell_angle_gamma 65.17
_symmetry_space_group_name_H-M 'P -1'
_symmetry_Int_Tables_number 2
loop_
_symmetry_equiv_pos_as_xyz
'x,y,z'
'-x,-y,-z'
loop_
_atom_site_label
_atom_site_type_symbol
_atom_site_fract_x
_atom_site_fract_y
_atom_site_fract_z
Y1 Y 0.0326 0.1790 0.1006
Y2 Y 0.3730 0.4668 0.2254
Y3 Y 0.3753 0.1600 0.6962
Mg1 Mg 0.1000 0.7410 0.5262
Co1 Co 0.4491 0.8293 0.9843
# - Relative energy among the computed polymorphs: 0.000 eV/f.u.
# - Crystal system: triclinic
# - DFT formation energy: -0.547 eV per formula unit
# - Spin magnetization: 0.00 μB per cell